# 1
A relaxed structure of ScRe5, computed with PBE-GGA.

a b c (Å): 5.1851 5.1851 5.1851
angles (deg): 60.00 60.00 60.00
Last column: nearest neighbours and their distance in Å.
Sites, in units of the cell vectors:
Sc: 0.0000 0.0000 0.0000  16 Re 3.04-3.18
Re: 0.1220 0.6260 0.6260  6 Re 2.57-2.61
Re: 0.2500 0.2500 0.2500  12 Re 3.04, 4 Sc 3.18
Re: 0.6260 0.1220 0.6260  6 Re 2.57-2.61
Re: 0.6260 0.6260 0.1220  6 Re 2.57-2.61
Re: 0.6260 0.6260 0.6260  6 Re 2.57-2.61

Calculated values
- N(E_F): 6.3 states/eV/cell
- Energy of formation: 0.103 eV per atom
- SG: No. 216
- Total moment: 0.00 μB per formula unit
- DFT total energy: -68.0 eV per cell
- Energy above the most stable polymorph in this dataset: 0.023 eV/atom

# 2
A relaxed structure of ScRe, computed with PBE-GGA.

a b c (Å): 4.6199 4.6199 5.3080
angles (deg): 90.00 90.00 120.00
Last column: nearest neighbours and their distance in Å.
Sites, in units of the cell vectors:
Sc: 0.3333 0.6667 0.2500  5 Re 2.65-2.67
Sc: 0.6667 0.3333 0.7500  5 Re 2.65-2.67
Re: 0.3333 0.6667 0.7500  5 Sc 2.65-2.67
Re: 0.6667 0.3333 0.2500  5 Sc 2.65-2.67

Calculated values
- N(E_F): 7.2 states/eV/cell
- Energy of formation: 1.715 eV per atom
- SG: No. 194
- Total moment: 0.65 μB per formula unit
- DFT total energy: -30.7 eV per cell

# 3
A relaxed structure of ScRe, computed with PBE-GGA.

a b c (Å): 2.7573 2.7573 4.5675
angles (deg): 90.00 90.00 90.00
Last column: nearest neighbours and their distance in Å.
Sites, in units of the cell vectors:
Sc: 0.0000 0.0000 0.0000  4 Sc 2.76, 8 Re 3.00
Re: 0.5000 0.5000 0.5000  4 Re 2.76, 8 Sc 3.00

Calculated values
- N(E_F): 2.0 states/eV/cell
- Energy of formation: 0.197 eV per atom
- SG: No. 123
- Total moment: 0.00 μB per formula unit
- DFT total energy: -18.4 eV per cell